An optimized crystal structure of CaScSi4, computed with PBE.

Geometry as POSCAR:
```
CaScSi4
1.0
-2.525 -0.159 4.586
-3.994 -3.320 0.676
0.548 -4.149 3.149
Ca Sc Si
1 1 4
Direct
0.750 0.750 0.750 Ca
0.000 0.000 0.000 Sc
0.878 0.374 0.374 Si
0.374 0.374 0.878 Si
0.374 0.878 0.374 Si
0.374 0.374 0.374 Si
```

density	3.226	g/cm3
energy relative to the elements, uncorrected	-0.213	eV/atom
symmetry	F-43m, No. 216